DFT (PBE) results for a relaxed structure of CaTaAs2.

## Properties
Calculated total energy in Ry/atom: -0.417
Relative energy among the computed polymorphs in meV/atom: 842.1
SG: P4mm (99)
DFT formation energy in meV/atom: 110

Cell lengths 2.932, 2.932, 10.649 Å; angles 90.00, 90.00, 90.00 degrees
Fractional coordinates of all 4 atoms:
Ca  0.000  0.000  0.000
Ta  0.500  0.500  0.261
As  0.000  0.000  0.444
As  0.500  0.500  0.788

***

DFT (PBE) results for a relaxed structure of SbH2I.

## Properties
Calculated total energy in Ry/atom: -0.221
Relative energy among the computed polymorphs in meV/atom: 166.0
SG: P1 (1)

Cell lengths 4.555, 4.995, 5.597 Å; angles 107.94, 96.09, 113.49 degrees
Fractional coordinates of all 4 atoms:
Sb  0.000  0.000  0.000
H  0.209  0.296  0.891
H  0.779  0.198  0.132
I  0.485  0.703  0.531

***

DFT (PBE) results for a relaxed structure of Re3AsPd.

## Properties
Calculated total energy in Ry/atom: -0.499
Relative energy among the computed polymorphs in meV/atom: 981.5
SG: Pm-3m (221)
DFT formation energy in meV/atom: 2654

Cell lengths 4.713, 4.713, 4.713 Å; angles 90.00, 90.00, 90.00 degrees
Fractional coordinates of all 5 atoms:
Re  0.000  0.000  0.500
Re  0.000  0.500  0.000
Re  0.500  0.000  0.000
As  0.500  0.500  0.500
Pd  0.000  0.000  0.000

***

DFT (PBE) results for a relaxed structure of LaCdTePH.

## Properties
Calculated total energy in Ry/atom: -0.303
Relative energy among the computed polymorphs in meV/atom: 124.3
SG: Cm (8)

Cell lengths 4.358, 4.358, 7.525 Å; angles 90.05, 90.05, 59.52 degrees
Fractional coordinates of all 5 atoms:
La  0.000  0.000  0.000
Cd  0.340  0.340  0.349
Te  0.340  0.340  0.729
P  0.672  0.672  0.221
H  0.851  0.851  0.739

***

DFT (PBE) results for a relaxed structure of CrSi2W.

## Properties
Calculated total energy in Ry/atom: -0.609
Raw formation energy in eV per atom: 0.07
Relative energy among the computed polymorphs in meV/atom: 336.1
SG: Fm-3m (225)

Cell lengths 4.249, 4.249, 4.249 Å; angles 60.00, 60.00, 60.00 degrees
Fractional coordinates of all 4 atoms:
Cr  0.000  0.000  0.000
Si  0.250  0.250  0.250
Si  0.750  0.750  0.750
W  0.500  0.500  0.500

***

DFT (PBE) results for a relaxed structure of Tm2Ge4Rh3.

## Properties
Calculated total energy in Ry/atom: -0.456
SG: Fmmm (69)
DFT formation energy in meV/atom: -712

Cell lengths 7.775, 6.727, 5.513 Å; angles 78.17, 57.87, 43.95 degrees
Fractional coordinates of all 9 atoms:
Tm  0.132  0.132  0.868
Tm  0.868  0.868  0.132
Ge  0.172  0.506  0.494
Ge  0.494  0.828  0.172
Ge  0.506  0.172  0.828
Ge  0.828  0.494  0.506
Rh  0.000  0.000  0.500
Rh  0.500  0.500  0.000
Rh  0.500  0.500  0.500

***

DFT (PBE) results for a relaxed structure of CaNdY14.

## Properties
Calculated total energy in Ry/atom: -0.445
SG: Amm2 (38)
DFT formation energy in meV/atom: 26

Cell lengths 11.623, 7.234, 7.234 Å; angles 59.99, 90.00, 90.00 degrees
Fractional coordinates of all 16 atoms:
Ca  0.000  0.000  0.000
Nd  0.000  0.499  0.499
Y  0.000  0.000  0.500
Y  0.000  0.500  0.000
Y  0.249  0.333  0.333
Y  0.254  0.831  0.831
Y  0.255  0.337  0.831
Y  0.255  0.831  0.337
Y  0.500  0.166  0.166
Y  0.500  0.166  0.665
Y  0.500  0.665  0.166
Y  0.500  0.665  0.665
Y  0.745  0.337  0.831
Y  0.745  0.831  0.337
Y  0.746  0.831  0.831
Y  0.751  0.333  0.333

***

DFT (PBE) results for a relaxed structure of LiAgTe3.

## Properties
Calculated total energy in Ry/atom: -0.224
Raw formation energy in eV per atom: -0.21
Relative energy among the computed polymorphs in meV/atom: 29.5
SG: P2_1/m (11)

Cell lengths 4.538, 6.090, 11.821 Å; angles 90.00, 93.63, 90.00 degrees
Fractional coordinates of all 10 atoms:
Li  0.247  0.250  0.460
Li  0.753  0.750  0.540
Ag  0.316  0.250  0.743
Ag  0.684  0.750  0.257
Te  0.088  0.502  0.116
Te  0.088  0.998  0.116
Te  0.231  0.750  0.400
Te  0.769  0.250  0.600
Te  0.912  0.002  0.884
Te  0.912  0.498  0.884

***

DFT (PBE) results for a relaxed structure of CaEr5Rh6.

## Properties
Calculated total energy in Ry/atom: -0.485
SG: Cmmm (65)
DFT formation energy in meV/atom: -856

Cell lengths 7.631, 7.631, 6.727 Å; angles 90.00, 90.00, 143.17 degrees
Fractional coordinates of all 12 atoms:
Ca  0.000  0.000  0.000
Er  0.000  0.000  0.500
Er  0.334  0.666  0.500
Er  0.335  0.665  0.000
Er  0.665  0.335  0.000
Er  0.666  0.334  0.500
Rh  0.170  0.830  0.253
Rh  0.170  0.830  0.747
Rh  0.500  0.500  0.260
Rh  0.500  0.500  0.740
Rh  0.830  0.170  0.253
Rh  0.830  0.170  0.747

***

DFT (PBE) results for a relaxed structure of Nd2AgH.

## Properties
Calculated total energy in Ry/atom: -0.301
Relative energy among the computed polymorphs in meV/atom: 33.2
SG: R-3m (166)

Cell lengths 7.790, 7.790, 7.790 Å; angles 28.12, 28.12, 28.12 degrees
Fractional coordinates of all 4 atoms:
Nd  0.230  0.230  0.230
Nd  0.770  0.770  0.770
Ag  0.000  0.000  0.000
H  0.500  0.500  0.500

***

DFT (PBE) results for a relaxed structure of SrTmB2O6.

## Properties
Calculated total energy in Ry/atom: -0.565
Raw formation energy in eV per atom: -2.76
SG: C2/c (15)

Cell lengths 6.375, 6.375, 6.752 Å; angles 101.22, 101.22, 101.94 degrees
Fractional coordinates of all 20 atoms:
Sr  0.130  0.870  0.750
Sr  0.870  0.130  0.250
Tm  0.421  0.579  0.250
Tm  0.579  0.421  0.750
B  0.121  0.395  0.751
B  0.395  0.121  0.251
B  0.605  0.879  0.749
B  0.879  0.605  0.249
O  0.076  0.549  0.282
O  0.160  0.221  0.622
O  0.221  0.160  0.122
O  0.299  0.533  0.906
O  0.451  0.924  0.218
O  0.467  0.701  0.594
O  0.533  0.299  0.406
O  0.549  0.076  0.782
O  0.701  0.467  0.094
O  0.779  0.840  0.878
O  0.840  0.779  0.378
O  0.924  0.451  0.718

***

DFT (PBE) results for a relaxed structure of Ce2SmTe5.

## Properties
Calculated total energy in Ry/atom: -0.342
Raw formation energy in eV per atom: -0.61
SG: P4/mmm (123)

Cell lengths 7.533, 7.533, 5.475 Å; angles 90.00, 90.00, 90.00 degrees
Fractional coordinates of all 8 atoms:
Ce  0.000  0.500  0.000
Ce  0.500  0.000  0.000
Sm  0.000  0.000  0.500
Te  0.000  0.000  0.000
Te  0.283  0.283  0.500
Te  0.283  0.717  0.500
Te  0.717  0.283  0.500
Te  0.717  0.717  0.500

***

DFT (PBE) results for a relaxed structure of La5Pm2PrSm.

## Properties
Calculated total energy in Ry/atom: -0.338
SG: I4/mcm (140)
DFT formation energy in meV/atom: 244

Cell lengths 10.172, 10.172, 10.172 Å; angles 127.01, 127.01, 78.23 degrees
Fractional coordinates of all 18 atoms:
La  0.000  0.000  0.000
La  0.065  0.565  0.904
La  0.161  0.065  0.500
La  0.339  0.839  0.904
La  0.435  0.339  0.500
La  0.500  0.500  0.000
La  0.565  0.661  0.500
La  0.661  0.161  0.096
La  0.839  0.935  0.500
La  0.935  0.435  0.096
Pm  0.117  0.383  0.500
Pm  0.383  0.883  0.267
Pm  0.617  0.117  0.733
Pm  0.883  0.617  0.500
Pr  0.250  0.250  0.000
Pr  0.750  0.750  0.000
Sm  0.250  0.750  0.500
Sm  0.750  0.250  0.500